a.
# SrLa2Re GGA-PBE relaxed
# Fermi-level density of states = 3.69 states/eV/cell
data_SrLa2Re
_chemical_formula_sum 'Sr1 La2 Re1'
_symmetry_space_group_name_H-M 'P 4 m m'
_symmetry_Int_Tables_number 99
_cell_length_a 3.914
_cell_length_b 3.914
_cell_length_c 8.290
_cell_angle_alpha 90.00
_cell_angle_beta 90.00
_cell_angle_gamma 90.00
loop_
_symmetry_equiv_pos_as_xyz
'x,y,z'
'-y,x,z'
'-x,-y,z'
'y,-x,z'
'-x,y,z'
'y,x,z'
'x,-y,z'
'-y,-x,z'
loop_
_atom_site_label
_atom_site_fract_x
_atom_site_fract_y
_atom_site_fract_z
Sr1 0.000 0.000 0.000
La1 0.000 0.000 0.602
La2 0.500 0.500 0.387
Re1 0.500 0.500 0.749

---

b.
# SrLa2Re GGA-PBE relaxed
# Fermi-level density of states = 10.04 states/eV/cell
data_SrLa2Re
_chemical_formula_sum 'Sr2 La4 Re2'
_symmetry_space_group_name_H-M 'C m m m'
_symmetry_Int_Tables_number 65
_symmetry_space_group_name_Hall '-C 2 2'
_cell_length_a 4.910
_cell_length_b 5.317
_cell_length_c 10.426
_cell_angle_alpha 90.00
_cell_angle_beta 90.00
_cell_angle_gamma 90.00
loop_
_atom_site_label
_atom_site_fract_x
_atom_site_fract_y
_atom_site_fract_z
Sr1 0.000 0.000 0.000
La1 0.000 0.500 0.335
Re1 0.000 0.000 0.500

---

c.
# SrLa2Re GGA-PBE relaxed
# Fermi-level density of states = 17.61 states/eV/cell
data_SrLa2Re
_chemical_formula_sum 'Sr4 La8 Re4'
_symmetry_space_group_name_H-M 'F -4 3 m'
_symmetry_Int_Tables_number 216
_symmetry_space_group_name_Hall 'F -4 2 3'
_cell_length_a 7.616
_cell_length_b 7.616
_cell_length_c 7.616
_cell_angle_alpha 90.00
_cell_angle_beta 90.00
_cell_angle_gamma 90.00
loop_
_atom_site_label
_atom_site_fract_x
_atom_site_fract_y
_atom_site_fract_z
Sr1 0.000 0.000 0.000
La1 0.000 0.000 0.500
La2 0.250 0.250 0.750
Re1 0.250 0.250 0.250

---

b takes first place; second place is 266 meV/atom up.

---

a.
# SrLa2Re GGA-PBE relaxed
# Fermi-level density of states = 18.10 states/eV/cell
data_SrLa2Re
_chemical_formula_sum 'Sr3 La6 Re3'
_symmetry_space_group_name_H-M 'R -3 m'
_symmetry_Int_Tables_number 166
_symmetry_space_group_name_Hall '-R 3 2"'
_cell_length_a 4.2347
_cell_length_b 4.2347
_cell_length_c 29.7236
_cell_angle_alpha 90.00
_cell_angle_beta 90.00
_cell_angle_gamma 120.00
loop_
_atom_site_label
_atom_site_fract_x
_atom_site_fract_y
_atom_site_fract_z
Sr1 0.0000 0.0000 0.0000
La1 0.0000 0.0000 0.2177
Re1 0.0000 0.0000 0.5000

---

b.
# SrLa2Re GGA-PBE relaxed
# Fermi-level density of states = 23.07 states/eV/cell
data_SrLa2Re
_chemical_formula_sum 'Sr4 La8 Re4'
_symmetry_space_group_name_H-M 'I -4 2 d'
_symmetry_Int_Tables_number 122
_symmetry_space_group_name_Hall 'I -4 2bw'
_cell_length_a 8.353
_cell_length_b 8.353
_cell_length_c 11.814
_cell_angle_alpha 90.00
_cell_angle_beta 90.00
_cell_angle_gamma 90.00
loop_
_atom_site_label
_atom_site_fract_x
_atom_site_fract_y
_atom_site_fract_z
Sr1 0.000 0.000 0.000
La1 0.008 0.250 0.625
Re1 0.000 0.000 0.500

---

c.
# SrLa2Re GGA-PBE relaxed
# Fermi-level density of states = 4.69 states/eV/cell
data_SrLa2Re
_chemical_formula_sum 'Sr1 La2 Re1'
_symmetry_space_group_name_H-M 'P 4/m m m'
_symmetry_Int_Tables_number 123
_symmetry_space_group_name_Hall '-P 4 2'
_cell_length_a 5.032
_cell_length_b 5.032
_cell_length_c 4.477
_cell_angle_alpha 90.00
_cell_angle_beta 90.00
_cell_angle_gamma 90.00
loop_
_atom_site_label
_atom_site_fract_x
_atom_site_fract_y
_atom_site_fract_z
Sr1 0.000 0.000 0.000
La1 0.000 0.500 0.500
Re1 0.500 0.500 0.000

---

d.
# SrLa2Re GGA-PBE relaxed
# Fermi-level density of states = 9.14 states/eV/cell
data_SrLa2Re
_chemical_formula_sum 'Sr2 La4 Re2'
_symmetry_space_group_name_H-M 'I -4 m 2'
_symmetry_Int_Tables_number 119
_symmetry_space_group_name_Hall 'I -4 -2'
_cell_length_a 4.882
_cell_length_b 4.882
_cell_length_c 9.308
_cell_angle_alpha 90.00
_cell_angle_beta 90.00
_cell_angle_gamma 90.00
loop_
_atom_site_label
_atom_site_fract_x
_atom_site_fract_y
_atom_site_fract_z
Sr1 0.000 0.000 0.000
La1 0.000 0.000 0.500
La2 0.000 0.500 0.750
Re1 0.000 0.500 0.250

---

a takes first place; second place is 252 meV/atom up.

---

a.
# SrLa2Re GGA-PBE relaxed
# Fermi-level density of states = 9.31 states/eV/cell
data_SrLa2Re
_chemical_formula_sum 'Sr2 La4 Re2'
_symmetry_space_group_name_H-M 'A m m 2'
_symmetry_Int_Tables_number 38
_cell_length_a 3.740
_cell_length_b 4.755
_cell_length_c 16.495
_cell_angle_alpha 90.00
_cell_angle_beta 90.00
_cell_angle_gamma 90.00
loop_
_symmetry_equiv_pos_as_xyz
'x,y,z'
'-x,-y,z'
'-x,y,z'
'x,-y,z'
'x,y+1/2,z+1/2'
'-x,-y+1/2,z+1/2'
'-x,y+1/2,z+1/2'
'x,-y+1/2,z+1/2'
loop_
_atom_site_label
_atom_site_fract_x
_atom_site_fract_y
_atom_site_fract_z
Sr1 0.000 0.000 0.000
La1 0.000 0.000 0.671
La2 0.500 0.000 0.323
Re1 0.500 0.000 0.174

---

b.
# SrLa2Re GGA-PBE relaxed
# Fermi-level density of states = 6.90 states/eV/cell
data_SrLa2Re
_chemical_formula_sum 'Sr2 La4 Re2'
_symmetry_space_group_name_H-M 'C 1 2/m 1'
_symmetry_Int_Tables_number 12
_cell_length_a 8.688
_cell_length_b 4.814
_cell_length_c 6.597
_cell_angle_alpha 90.00
_cell_angle_beta 114.98
_cell_angle_gamma 90.00
loop_
_symmetry_equiv_pos_as_xyz
'x,y,z'
'-x,-y,-z'
'-x,y,-z'
'x,-y,z'
'x+1/2,y+1/2,z'
'-x+1/2,-y+1/2,-z'
'-x+1/2,y+1/2,-z'
'x+1/2,-y+1/2,z'
loop_
_atom_site_label
_atom_site_fract_x
_atom_site_fract_y
_atom_site_fract_z
Sr1 0.000 0.000 0.000
La1 0.216 0.000 0.662
Re1 0.000 0.500 0.500

---

a takes first place; second place is 25 meV/atom up.

---

a.
# LaTa2Re GGA-PBE relaxed
# Fermi-level density of states = 12.53 states/eV/cell
data_LaTa2Re
_chemical_formula_sum 'La2 Ta4 Re2'
_symmetry_space_group_name_H-M 'I 4/m m m'
_symmetry_Int_Tables_number 139
_symmetry_space_group_name_Hall '-I 4 2'
_cell_length_a 4.309
_cell_length_b 4.309
_cell_length_c 8.633
_cell_angle_alpha 90.00
_cell_angle_beta 90.00
_cell_angle_gamma 90.00
loop_
_atom_site_label
_atom_site_fract_x
_atom_site_fract_y
_atom_site_fract_z
La1 0.000 0.000 0.000
Ta1 0.000 0.500 0.250
Re1 0.000 0.000 0.500

---

b.
# LaTa2Re GGA-PBE relaxed
# Fermi-level density of states = 22.85 states/eV/cell
data_LaTa2Re
_chemical_formula_sum 'La4 Ta8 Re4'
_symmetry_space_group_name_H-M 'F m -3 m'
_symmetry_Int_Tables_number 225
_symmetry_space_group_name_Hall '-F 4 2 3'
_cell_length_a 6.742
_cell_length_b 6.742
_cell_length_c 6.742
_cell_angle_alpha 90.00
_cell_angle_beta 90.00
_cell_angle_gamma 90.00
loop_
_atom_site_label
_atom_site_fract_x
_atom_site_fract_y
_atom_site_fract_z
La1 0.000 0.000 0.000
Ta1 0.250 0.250 0.250
Re1 0.000 0.000 0.500

---

b takes first place; second place is 404 meV/atom up.

---

a.
# LaTa2Re GGA-PBE relaxed
# Fermi-level density of states = 7.48 states/eV/cell
data_LaTa2Re
_chemical_formula_sum 'La2 Ta4 Re2'
_symmetry_space_group_name_H-M 'I m m 2'
_symmetry_Int_Tables_number 44
_cell_length_a 4.804
_cell_length_b 4.819
_cell_length_c 6.803
_cell_angle_alpha 90.00
_cell_angle_beta 90.00
_cell_angle_gamma 90.00
loop_
_symmetry_equiv_pos_as_xyz
'x,y,z'
'-x,-y,z'
'-x,y,z'
'x,-y,z'
'x+1/2,y+1/2,z+1/2'
'-x+1/2,-y+1/2,z+1/2'
'-x+1/2,y+1/2,z+1/2'
'x+1/2,-y+1/2,z+1/2'
loop_
_atom_site_label
_atom_site_fract_x
_atom_site_fract_y
_atom_site_fract_z
La1 0.000 0.000 0.000
Ta1 0.000 0.000 0.500
Ta2 0.000 0.500 0.751
Re1 0.000 0.500 0.250

---

b.
# LaTa2Re GGA-PBE relaxed
# Fermi-level density of states = 5.66 states/eV/cell
data_LaTa2Re
_chemical_formula_sum 'La2 Ta4 Re2'
_symmetry_space_group_name_H-M 'C m m 2'
_symmetry_Int_Tables_number 35
_cell_length_a 3.243
_cell_length_b 4.924
_cell_length_c 9.965
_cell_angle_alpha 90.00
_cell_angle_beta 90.00
_cell_angle_gamma 90.00
loop_
_symmetry_equiv_pos_as_xyz
'x,y,z'
'-x,-y,z'
'-x,y,z'
'x,-y,z'
'x+1/2,y+1/2,z'
'-x+1/2,-y+1/2,z'
'-x+1/2,y+1/2,z'
'x+1/2,-y+1/2,z'
loop_
_atom_site_label
_atom_site_fract_x
_atom_site_fract_y
_atom_site_fract_z
La1 0.000 0.000 0.000
Ta1 0.000 0.000 0.467
Ta2 0.000 0.500 0.699
Re1 0.000 0.500 0.259

---

b takes first place; second place is 184 meV/atom up.

---

a.
# LaTa2Re GGA-PBE relaxed
# Fermi-level density of states = 8.21 states/eV/cell
data_LaTa2Re
_chemical_formula_sum 'La2 Ta4 Re2'
_symmetry_space_group_name_H-M 'C 1 2/m 1'
_symmetry_Int_Tables_number 12
_cell_length_a 10.564
_cell_length_b 3.229
_cell_length_c 5.440
_cell_angle_alpha 90.00
_cell_angle_beta 108.26
_cell_angle_gamma 90.00
loop_
_symmetry_equiv_pos_as_xyz
'x,y,z'
'-x,-y,-z'
'-x,y,-z'
'x,-y,z'
'x+1/2,y+1/2,z'
'-x+1/2,-y+1/2,-z'
'-x+1/2,y+1/2,-z'
'x+1/2,-y+1/2,z'
loop_
_atom_site_label
_atom_site_fract_x
_atom_site_fract_y
_atom_site_fract_z
La1 0.000 0.000 0.000
Ta1 0.207 0.000 0.668
Re1 0.000 0.500 0.500

---

b.
# LaTa2Re GGA-PBE relaxed
# Fermi-level density of states = 8.76 states/eV/cell
data_LaTa2Re
_chemical_formula_sum 'La2 Ta4 Re2'
_symmetry_space_group_name_H-M 'I m m m'
_symmetry_Int_Tables_number 71
_symmetry_space_group_name_Hall '-I 2 2'
_cell_length_a 3.193
_cell_length_b 5.182
_cell_length_c 10.107
_cell_angle_alpha 90.00
_cell_angle_beta 90.00
_cell_angle_gamma 90.00
loop_
_atom_site_label
_atom_site_fract_x
_atom_site_fract_y
_atom_site_fract_z
La1 0.000 0.000 0.000
Ta1 0.000 0.500 0.217
Re1 0.000 0.000 0.500

---

a takes first place; second place is 16 meV/atom up.